(1)
CaZn3Tc | PBE-GGA | optimized geometry

The space group is Pm-3m (No. 221) and the conventional cell measures 5.246, 5.246 and 5.246 Å, with angles of 90.00, 90.00 and 90.00 degrees. The inequivalent atoms are Ca at (0.000, 0.000, 0.000), Zn at (0.000, 0.000, 0.500) and Tc at (0.500, 0.500, 0.500).

As for the energy above the lowest structure with this stoichiometry: 1387 meV/atom. Its crystal system is cubic. The calculation puts the formation energy at 151.7 kJ/mol of atoms. The calculation puts the total magnetic moment at 3.4 μB per formula unit.

(2)
CaZn2Tc | PBE-GGA | optimized geometry

The space group is Cmmm (No. 65) and the conventional cell measures 5.963, 7.938 and 2.882 Å, with angles of 90.00, 90.00 and 90.00 degrees. The inequivalent atoms are Ca at (0.000, 0.000, 0.000), Zn at (0.250, 0.250, 0.500) and Tc at (0.000, 0.500, 0.000).

As for the energy above the lowest structure with this stoichiometry: 148 meV/atom. Its crystal system is orthorhombic. The calculation puts the formation energy at 22.8 kJ/mol of atoms. The calculation puts the total magnetic moment at 0.0 μB per formula unit.

(3)
Ca2ZnTc | PBE-GGA | optimized geometry

The space group is I-42d (No. 122) and the conventional cell measures 4.186, 4.186 and 20.272 Å, with angles of 90.00, 90.00 and 90.00 degrees. The inequivalent atoms are Ca at (0.246, 0.250, 0.125), Zn at (0.000, 0.000, 0.500) and Tc at (0.000, 0.000, 0.000).

Its crystal system is tetragonal. The calculation puts the formation energy at 74.3 kJ/mol of atoms. The calculation puts the total magnetic moment at 0.0 μB per formula unit.

(4)
Ca2ZnTc | PBE-GGA | optimized geometry

The space group is P4/mmm (No. 123) and the conventional cell measures 4.625, 4.625 and 4.207 Å, with angles of 90.00, 90.00 and 90.00 degrees. The inequivalent atoms are Ca at (0.000, 0.500, 0.000), Zn at (0.000, 0.000, 0.500) and Tc at (0.500, 0.500, 0.500).

Its crystal system is tetragonal. The calculation puts the formation energy at 42.5 kJ/mol of atoms. The calculation puts the total magnetic moment at 1.5 μB per formula unit.

(5)
Ca2ZnTc | PBE-GGA | optimized geometry

The space group is Imm2 (No. 44) and the conventional cell measures 3.470, 5.045 and 10.548 Å, with angles of 90.00, 90.00 and 90.00 degrees. The inequivalent atoms are Ca at (0.000, 0.000, 0.000), Ca at (0.000, 0.500, 0.208), Zn at (0.000, 0.500, 0.765) and Tc at (0.000, 0.000, 0.442).

Its crystal system is orthorhombic. The calculation puts the formation energy at 26.3 kJ/mol of atoms. The calculation puts the total magnetic moment at 0.9 μB per formula unit.

(6)
CaZn2Tc | PBE-GGA | optimized geometry

The space group is Pm (No. 6) and the conventional cell measures 2.898, 4.479 and 5.535 Å, with angles of 90.00, 99.02 and 90.00 degrees. The inequivalent atoms are Ca at (0.000, 0.000, 0.000), Zn at (0.379, 0.000, 0.487), Zn at (0.423, 0.500, 0.757) and Tc at (0.760, 0.500, 0.340).

As for the energy above the lowest structure with this stoichiometry: 145 meV/atom. Its crystal system is monoclinic. The calculation puts the formation energy at 22.4 kJ/mol of atoms. The calculation puts the total magnetic moment at 0.0 μB per formula unit.

(7)
Ca2Zn2Tc | PBE-GGA | optimized geometry

The space group is P4/mbm (No. 127) and the conventional cell measures 6.863, 6.863 and 4.687 Å, with angles of 90.00, 90.00 and 90.00 degrees. The inequivalent atoms are Ca at (0.182, 0.318, 0.000), Zn at (0.138, 0.638, 0.500) and Tc at (0.000, 0.000, 0.500).

Its crystal system is tetragonal. The calculation puts the formation energy at 16.7 kJ/mol of atoms. The calculation puts the total magnetic moment at 0.9 μB per formula unit.

(8)
Ca2ZnTc | PBE-GGA | optimized geometry

The space group is F-43m (No. 216) and the conventional cell measures 6.973, 6.973 and 6.973 Å, with angles of 90.00, 90.00 and 90.00 degrees. The inequivalent atoms are Ca at (0.000, 0.000, 0.000), Ca at (0.250, 0.250, 0.250), Zn at (0.000, 0.000, 0.500) and Tc at (0.250, 0.250, 0.750).

Its crystal system is cubic. The calculation puts the formation energy at 43.6 kJ/mol of atoms. The calculation puts the total magnetic moment at 0.6 μB per formula unit.

Please write out number 7 again, unchanged.
Ca2Zn2Tc | PBE-GGA | optimized geometry

The space group is P4/mbm (No. 127) and the conventional cell measures 6.863, 6.863 and 4.687 Å, with angles of 90.00, 90.00 and 90.00 degrees. The inequivalent atoms are Ca at (0.182, 0.318, 0.000), Zn at (0.138, 0.638, 0.500) and Tc at (0.000, 0.000, 0.500).

Its crystal system is tetragonal. The calculation puts the formation energy at 16.7 kJ/mol of atoms. The calculation puts the total magnetic moment at 0.9 μB per formula unit.

Q: What is the formula in the third record?
A: Ca2ZnTc

Q: The highest total magnetic moment belongs to which entry?
A: CaZn3Tc